Here is an optimized crystal structure of Tl2SiWO6 from Alexandria. Energies are from PBE with a Hubbard U.

calculated total energy	-6.28	eV/atom

CIF file:
```
data_Tl2SiWO6
_symmetry_space_group_name_H-M 'P 1'
_symmetry_Int_Tables_number 1
_cell_length_a 5.1782
_cell_length_b 5.1771
_cell_length_c 6.8213
_cell_angle_alpha 67.66
_cell_angle_beta 67.66
_cell_angle_gamma 90.00
loop_
_symmetry_equiv_pos_as_xyz
'x,y,z'
loop_
_atom_site_label
_atom_site_fract_x
_atom_site_fract_y
_atom_site_fract_z
Tl1 0.7501 0.2499 0.5000
Tl2 0.2499 0.7501 0.5000
Si1 0.5000 0.5000 0.0000
W1 0.0000 0.0000 0.0000
O1 0.1656 0.1656 0.6697
O2 0.7297 0.7296 0.0000
O3 0.2704 0.7298 0.0000
O4 0.7295 0.2702 0.0000
O5 0.2703 0.2704 0.0000
O6 0.8344 0.8344 0.3303
```